DFT (GGA-PBE) results for an optimized crystal structure of RbSeIO6.

abc: 5.765 5.767 6.203
angles: 91.12 88.89 53.07
Element x y z (fractional)
O 0.378 0.549 0.299
O 0.550 0.378 0.701
O 0.042 0.373 0.333
O 0.373 0.043 0.667
O 0.647 0.967 0.328
O 0.967 0.647 0.672
Rb 0.008 0.008 0.000
Se 0.690 0.690 0.500
I 0.344 0.344 0.500

The value obtained for the total magnetic moment is 0.00 μB/atom. As for the formation energy from raw total energies: -0.65 eV per atom.